1.
The following is a meta-GGA SCAN calculation of Mg2BeTe at its PBEsol-relaxed geometry, from the Alexandria database.

```
Mg2BeTe
1.0
-2.155 2.155 4.283
2.155 -2.155 4.283
2.155 2.155 -4.283
Mg Be Te
2 1 1
Cartesian
2.155 0.000 2.141 Mg
0.000 2.155 2.141 Mg
0.000 0.000 0.000 Be
0.000 0.000 4.283 Te
```

Properties
Its symmetry is I4/mmm. As for the size of the total moment: 0.00 μB/f.u. The density of states at the Fermi level is 0.3645 states/eV/atom. Its energy is -12.697 eV/atom. The volume comes out at 19.9 Å³/atom.

2.
The following is a meta-GGA SCAN calculation of Cd2InPb at its PBEsol-relaxed geometry, from the Alexandria database.

```
Cd2InPb
1.0
5.181 0.000 0.000
0.000 5.181 0.000
0.000 0.000 3.704
Cd In Pb
2 1 1
Cartesian
0.000 2.590 0.000 Cd
2.590 0.000 0.000 Cd
0.000 0.000 1.852 In
2.590 2.590 1.852 Pb
```

Properties
Its symmetry is P4/mmm. As for the size of the total moment: 0.00 μB/f.u. The density of states at the Fermi level is 0.3952 states/eV/atom. Its energy is -42.388 eV/atom. The volume comes out at 24.9 Å³/atom.

3.
The following is a meta-GGA SCAN calculation of ScBe2Ir2 at its PBEsol-relaxed geometry, from the Alexandria database.

```
ScBe2Ir2
1.0
6.583 0.000 0.000
0.000 6.583 0.000
0.000 0.000 2.849
Sc Be Ir
2 4 4
Cartesian
0.000 0.000 0.000 Sc
3.292 3.292 0.000 Sc
0.784 2.508 0.000 Be
2.508 5.799 0.000 Be
4.075 0.784 0.000 Be
5.799 4.075 0.000 Be
1.118 4.410 1.425 Ir
2.173 1.118 1.425 Ir
4.410 5.465 1.425 Ir
5.465 2.173 1.425 Ir
```

Properties
Its symmetry is P4/mbm. As for the size of the total moment: 0.00 μB/f.u. The density of states at the Fermi level is 0.2403 states/eV/atom. Its energy is -33.935 eV/atom. The volume comes out at 12.3 Å³/atom.

4.
The following is a meta-GGA SCAN calculation of NiOsRh2 at its PBEsol-relaxed geometry, from the Alexandria database.

```
NiOsRh2
1.0
2.652 0.000 0.000
0.000 3.709 0.000
0.000 0.000 5.254
Ni Os Rh
1 1 2
Cartesian
0.000 0.000 0.000 Ni
1.326 1.854 1.253 Os
0.000 0.000 2.550 Rh
1.326 1.854 3.978 Rh
```

Properties
Its symmetry is Pmm2. As for the size of the total moment: 0.00 μB/f.u. The density of states at the Fermi level is 1.0999 states/eV/atom. Its energy is -38.807 eV/atom. The volume comes out at 12.9 Å³/atom.

5.
The following is a meta-GGA SCAN calculation of CaY at its PBEsol-relaxed geometry, from the Alexandria database.

```
CaY
1.0
1.987 -2.916 0.000
1.987 2.916 0.000
0.000 0.000 12.065
Ca Y
2 2
Cartesian
1.987 1.458 10.420 Ca
1.987 -1.458 1.645 Ca
1.987 1.458 4.702 Y
1.987 -1.458 7.363 Y
```

Properties
Its symmetry is Cmme. As for the size of the total moment: 0.09 μB/f.u. The density of states at the Fermi level is 1.5299 states/eV/atom. Its energy is -18.647 eV/atom. The volume comes out at 35.0 Å³/atom.

6.
The following is a meta-GGA SCAN calculation of ZrCoPO2 at its PBEsol-relaxed geometry, from the Alexandria database.

```
ZrCoPO2
1.0
3.915 0.000 0.000
0.000 3.915 0.000
0.000 0.000 5.583
Zr Co P O
1 1 1 2
Cartesian
0.000 0.000 0.000 Zr
1.958 1.958 2.792 Co
0.000 0.000 2.792 P
0.000 1.958 0.000 O
1.958 0.000 0.000 O
```

Properties
Its symmetry is P4/mmm. As for the size of the total moment: 3.02 μB/f.u. The density of states at the Fermi level is 0.5313 states/eV/atom. Its energy is -15.331 eV/atom. The volume comes out at 17.1 Å³/atom.

7.
The following is a meta-GGA SCAN calculation of Mn2Se at its PBEsol-relaxed geometry, from the Alexandria database.

```
Mn2Se
1.0
3.881 0.000 0.000
-1.941 3.361 0.000
0.000 0.000 2.758
Mn Se
2 1
Cartesian
0.000 2.241 0.680 Mn
1.941 1.120 2.079 Mn
0.000 0.000 0.000 Se
```

Properties
Its symmetry is P-3m1. As for the size of the total moment: 0.00 μB/f.u. The density of states at the Fermi level is 1.0480 states/eV/atom. Its energy is -18.336 eV/atom. The volume comes out at 12.0 Å³/atom.

8.
The following is a meta-GGA SCAN calculation of KTcPt2 at its PBEsol-relaxed geometry, from the Alexandria database.

```
KTcPt2
1.0
2.688 0.000 0.000
0.000 4.340 0.000
-0.169 0.000 6.700
K Tc Pt
1 1 2
Cartesian
0.000 0.000 0.000 K
-0.003 2.170 4.198 Tc
1.343 2.170 1.907 Pt
1.336 0.000 3.481 Pt
```

Properties
Its symmetry is Pm. As for the size of the total moment: 0.91 μB/f.u. The density of states at the Fermi level is 0.6721 states/eV/atom. Its energy is -45.638 eV/atom. The volume comes out at 19.5 Å³/atom.

9.
The following is a meta-GGA SCAN calculation of SiSb at its PBEsol-relaxed geometry, from the Alexandria database.

```
SiSb
1.0
3.776 0.000 0.000
-1.888 3.270 0.000
0.000 0.000 3.589
Si Sb
1 1
Cartesian
0.000 0.000 0.000 Si
1.888 1.090 1.794 Sb
```

Properties
Its symmetry is P-6m2. As for the size of the total moment: 0.00 μB/f.u. The density of states at the Fermi level is 0.3956 states/eV/atom. Its energy is -23.099 eV/atom. The volume comes out at 22.2 Å³/atom.

10.
The following is a meta-GGA SCAN calculation of Tl2NiH at its PBEsol-relaxed geometry, from the Alexandria database.

```
Tl2NiH
1.0
0.000 3.190 3.190
3.190 0.000 3.190
3.190 3.190 0.000
Tl Ni H
2 1 1
Cartesian
1.595 1.595 1.595 Tl
4.786 4.786 4.786 Tl
0.000 0.000 0.000 Ni
3.190 3.190 3.190 H
```

Properties
Its symmetry is Fm-3m. As for the size of the total moment: 0.00 μB/f.u. The density of states at the Fermi level is 0.4851 states/eV/atom. Its energy is -40.411 eV/atom. The volume comes out at 16.2 Å³/atom.

11.
The following is a meta-GGA SCAN calculation of K3GeN at its PBEsol-relaxed geometry, from the Alexandria database.

```
K3GeN
1.0
6.396 0.000 0.000
0.000 6.396 0.000
0.000 0.000 6.396
K Ge N
3 1 1
Cartesian
0.000 0.000 3.198 K
0.000 3.198 0.000 K
3.198 0.000 0.000 K
0.000 0.000 0.000 Ge
3.198 3.198 3.198 N
```

Properties
Its symmetry is Pm-3m. As for the size of the total moment: 4.00 μB/f.u. The density of states at the Fermi level is 0.3579 states/eV/atom. Its energy is -9.722 eV/atom. The volume comes out at 52.3 Å³/atom.

12.
The following is a meta-GGA SCAN calculation of ZrTlTe2N at its PBEsol-relaxed geometry, from the Alexandria database.

```
ZrTlTe2N
1.0
5.679 0.000 0.000
0.000 5.679 0.000
0.000 0.000 4.042
Zr Tl Te N
1 1 2 1
Cartesian
0.000 0.000 0.000 Zr
2.839 2.839 2.021 Tl
0.000 2.839 2.021 Te
2.839 0.000 2.021 Te
2.839 2.839 0.000 N
```

Properties
Its symmetry is P4/mmm. As for the size of the total moment: 0.11 μB/f.u. The density of states at the Fermi level is 0.5328 states/eV/atom. Its energy is -36.366 eV/atom. The volume comes out at 26.1 Å³/atom.